First-principles (GGA-PBE) data for crystalline CaTbGe at its relaxed geometry, as listed in Alexandria via LeMat-Bulk.

```
CaTbGe
1.0
-2.113 -2.915 -3.426
-2.136 -4.278 1.353
-4.945 -0.467 -0.157
Ge Ca Tb
1 1 1
direct
0.250 0.250 0.250 Ge
0.500 0.500 0.500 Ca
0.000 0.000 0.000 Tb
```

Results
Magnetization = 0.00 μB/cell
Formation enthalpy at 0 K = -1.6 eV per formula unit
Volume = 28.93 Å³ per atom
E = -12.82 eV/cell